VASP calculation (meta-GGA SCAN) on CsCd2SnHg at its PBEsol-relaxed geometry.

abc: 5.6667 5.6667 5.7821
angles: 90.00 90.00 90.00
Closest atoms and distances in Å follow each position.
Element x y z (fractional)
Cs (0.0000, 0.0000, 0.0000)  4 Hg 4.01, 8 Cd 4.05
Cd (0.0000, 0.5000, 0.5000)  2 Sn 2.83
Cd (0.5000, 0.0000, 0.5000)  2 Sn 2.83
Sn (0.5000, 0.5000, 0.5000)  4 Cd 2.83, 2 Hg 2.89
Hg (0.5000, 0.5000, 0.0000)  2 Sn 2.89

Values from the calculation:
Energy of formation from the pure elements   0.02 eV/atom
Space-group type   No. 123
Total moment   0.00 μB per cell
D(E_F)   3.141 states/eV per cell